1.
Material: Dy8Ru5Au
Method: DFT, PBE
State: relaxed

```
Dy8Ru5Au
1.0
-4.316 4.316 4.255
4.316 -4.316 4.255
4.316 4.316 -4.255
Dy Ru Au
8 5 1
direct
0.007 0.616 0.741
0.253 0.510 0.118
0.384 0.126 0.391
0.392 0.135 0.882
0.490 0.608 0.743
0.734 0.993 0.609
0.865 0.747 0.257
0.874 0.266 0.259
0.114 0.222 0.605
0.250 0.750 0.500
0.491 0.886 0.107
0.616 0.509 0.395
0.778 0.384 0.893
0.000 0.000 0.000
```

Computed properties:
space-group type: I-4
formation energy from the elements: -0.31 eV/atom

=====

2.
Material: NaLiNd2Se4
Method: DFT, PBE
State: relaxed

```
NaLiNd2Se4
1.0
-4.206 4.243 5.978
4.206 -4.243 5.978
4.206 4.243 -5.978
Na Li Nd Se
2 2 4 8
direct
0.500 0.000 0.000
0.500 0.500 0.500
0.000 0.000 0.000
0.500 0.000 0.500
0.000 0.000 0.500
0.000 0.500 0.000
0.000 0.500 0.500
0.500 0.500 0.000
0.244 0.749 0.494
0.245 0.251 0.994
0.248 0.247 0.500
0.248 0.748 0.000
0.752 0.252 0.000
0.752 0.753 0.500
0.755 0.749 0.006
0.756 0.251 0.506
```

Computed properties:
E_form (uncorrected): -1.6624 eV/atom
space-group type: Imma

=====

3.
Material: LaInGa2Cu
Method: DFT, PBE
State: relaxed

```
LaInGa2Cu
1.0
5.064 0.000 0.000
0.000 5.064 0.000
0.000 0.000 6.156
La In Ga Cu
1 1 2 1
direct
0.000 0.000 0.000
0.000 0.000 0.500
0.000 0.500 0.500
0.500 0.000 0.500
0.500 0.500 0.000
```

Computed properties:
space-group type: P4/mmm
formation energy from the elements: 0.61 eV/atom

=====

4.
Material: Tl2WAu
Method: DFT, PBE
State: relaxed

```
Tl2WAu
1.0
3.180 -4.932 0.000
3.180 4.932 0.000
-1.428 0.000 2.661
Tl W Au
2 1 1
direct
0.000 0.500 0.000
0.500 0.000 0.000
0.000 0.000 0.500
0.500 0.500 0.500
```

Computed properties:
space-group type: C2/m
formation energy from the elements: 0.77 eV/atom